Ho2PaTe6, relaxed, DFT PBE; space-group type = P4_2/mnm, No. 136; V = 38.5 A^3/atom; formation energy from raw total energies = -0.945 eV/atom; calculated density = 6.35 g/cm³
1.0
7.245 0.000 0.000
0.000 7.245 0.000
0.000 0.000 13.210
Ho Pa Te
4 2 12
Cartesian
0.000 0.000 2.200
0.000 0.000 11.010
3.622 3.622 4.405
3.622 3.622 8.804
0.000 0.000 6.605
3.622 3.622 0.000
1.459 1.459 4.453
1.459 1.459 8.757
1.498 1.498 0.000
2.125 5.120 6.605
2.163 5.082 2.152
2.163 5.082 11.058
5.082 2.163 2.152
5.082 2.163 11.058
5.120 2.125 6.605
5.747 5.747 0.000
5.786 5.786 4.453
5.786 5.786 8.757